Record 1
An optimized crystal structure of Tb2CeTm, computed with PBE.

Summary:
calculated formation energy: 0.056 eV/atom
E above lowest polymorph: 0.0 meV/atom
symmetry: R3m

Lattice parameters (Å, degrees): 3.5248 3.5248 11.6658 81.31 81.31 60.00
Each line ends with the local moment (μB).
Atoms (fractional coordinates):
Tb (0.0827, 0.0827, 0.7519)  0.01
Tb (0.2504, 0.2504, 0.2488)  -0.01
Ce (0.5006, 0.5006, 0.4981)  0.65
Tm (0.6663, 0.6663, 0.0011)  -0.07



Record 2
An optimized crystal structure of TiFe3Se, computed with PBE.

Summary:
E above lowest polymorph: 0.0 meV/atom
formation energy from raw total energies: 54.79 kJ per mole of atoms
symmetry: Pm-3m

Lattice parameters (Å, degrees): 4.3333 4.3333 4.3333 90.00 90.00 90.00
Each line ends with the local moment (μB).
Atoms (fractional coordinates):
Fe (0.0000, 0.5000, 0.0000)  2.08
Fe (0.0000, 0.0000, 0.5000)  2.03
Fe (0.5000, 0.0000, 0.0000)  2.23
Se (0.0000, 0.0000, 0.0000)  -0.03
Ti (0.5000, 0.5000, 0.5000)  -1.41



Record 3
An optimized crystal structure of Th2AlCo3, computed with PBE.

Summary:
calculated formation energy: -0.324 eV/atom
symmetry: Pnma

Lattice parameters (Å, degrees): 3.8067 6.7729 16.6295 90.00 90.00 90.00
Atoms (fractional coordinates):
Th (0.2500, 0.6417, 0.5748)
Th (0.7500, 0.8583, 0.0748)
Th (0.2500, 0.1417, 0.9252)
Th (0.7500, 0.3583, 0.4252)
Th (0.2500, 0.6053, 0.7901)
Th (0.7500, 0.8947, 0.2901)
Th (0.2500, 0.1053, 0.7099)
Th (0.7500, 0.3947, 0.2099)
Al (0.2500, 0.9806, 0.4394)
Al (0.7500, 0.5194, 0.9394)
Al (0.2500, 0.4806, 0.0606)
Al (0.7500, 0.0194, 0.5606)
Co (0.2500, 0.7420, 0.9499)
Co (0.7500, 0.7580, 0.4499)
Co (0.2500, 0.2420, 0.5501)
Co (0.7500, 0.2580, 0.0501)
Co (0.2500, 0.1219, 0.1439)
Co (0.7500, 0.3781, 0.6439)
Co (0.2500, 0.6219, 0.3561)
Co (0.7500, 0.8781, 0.8561)
Co (0.2500, 0.6976, 0.1896)
Co (0.7500, 0.8024, 0.6896)
Co (0.2500, 0.1976, 0.3104)
Co (0.7500, 0.3024, 0.8104)



Record 4
An optimized crystal structure of IrPbCl2, computed with PBE.

Summary:
E above lowest polymorph: 382.9 meV/atom
formation energy from raw total energies: 27.32 kJ per mole of atoms
symmetry: I-42d

Lattice parameters (Å, degrees): 4.7443 4.7443 9.0628 74.83 74.83 90.00
Atoms (fractional coordinates):
Pb (0.0000, 0.0000, 0.0000)
Pb (0.7500, 0.2500, 0.5000)
Ir (0.5000, 0.5000, 0.0000)
Ir (0.2500, 0.7500, 0.5000)
Cl (0.5539, 0.1250, 0.2500)
Cl (0.1961, 0.6250, 0.2500)
Cl (0.3750, 0.4461, 0.7500)
Cl (0.8750, 0.8039, 0.7500)



Record 5
An optimized crystal structure of ThUTe6, computed with PBE.

Summary:
formation energy from raw total energies: -70.28 kJ per mole of atoms
symmetry: Amm2

Lattice parameters (Å, degrees): 4.4434 4.4462 13.3391 90.00 99.59 90.00
Each line ends with the local moment (μB).
Atoms (fractional coordinates):
Th (0.8308, 0.0000, 0.6616)  0.00
U (0.1684, 0.5000, 0.3368)  2.54
Te (0.5795, 0.5000, 0.1590)  -0.02
Te (0.4217, 0.0000, 0.8435)  0.00
Te (0.2930, 0.5000, 0.5861)  -0.01
Te (0.7053, 0.0000, 0.4107)  -0.05
Te (0.9218, 0.5000, 0.8435)  0.00
Te (0.0794, 0.0000, 0.1589)  -0.02



Record 6
An optimized crystal structure of BaNaV, computed with PBE.

Summary:
calculated formation energy: 1.784 eV/atom
E above lowest polymorph: 1298.6 meV/atom
symmetry: P6_3/mmc

Lattice parameters (Å, degrees): 6.5199 6.5199 12.5183 90.00 90.00 120.00
Each line ends with the local moment (μB).
Atoms (fractional coordinates):
Na (0.3333, 0.6667, 0.2500)  0.00
Na (0.6667, 0.3333, 0.7500)  0.00
Ba (0.0000, 0.0000, 0.2500)  0.25
Ba (0.0000, 0.0000, 0.7500)  0.25
V (0.0000, 0.0000, 0.0000)  3.31
V (0.0000, 0.0000, 0.5000)  3.31



Record 7
An optimized crystal structure of AcAl4Ag2, computed with PBE.

Summary:
calculated formation energy: -0.277 eV/atom
symmetry: Pnma

Lattice parameters (Å, degrees): 4.3914 7.4277 17.9625 90.00 90.00 90.00
Atoms (fractional coordinates):
Ac (0.7500, 0.9950, 0.6152)
Ac (0.2500, 0.0050, 0.3848)
Ac (0.2500, 0.4950, 0.8848)
Ac (0.7500, 0.5050, 0.1152)
Al (0.2500, 0.2986, 0.6933)
Al (0.7500, 0.7014, 0.3067)
Al (0.7500, 0.7986, 0.8067)
Al (0.2500, 0.2014, 0.1933)
Al (0.2500, 0.6722, 0.6898)
Al (0.7500, 0.3278, 0.3102)
Al (0.7500, 0.1722, 0.8102)
Al (0.2500, 0.8278, 0.1898)
Al (0.2500, 0.2831, 0.5407)
Al (0.7500, 0.7169, 0.4593)
Al (0.7500, 0.7831, 0.9593)
Al (0.2500, 0.2169, 0.0407)
Al (0.2500, 0.5038, 0.4056)
Al (0.7500, 0.4962, 0.5944)
Al (0.7500, 0.0038, 0.0944)
Al (0.2500, 0.9962, 0.9056)
Ag (0.2500, 0.6841, 0.5399)
Ag (0.7500, 0.3159, 0.4601)
Ag (0.7500, 0.1841, 0.9601)
Ag (0.2500, 0.8159, 0.0399)
Ag (0.2500, 0.9816, 0.7621)
Ag (0.7500, 0.0184, 0.2379)
Ag (0.7500, 0.4816, 0.7379)
Ag (0.2500, 0.5184, 0.2621)



Record 8
An optimized crystal structure of Ac5CrN8, computed with PBE.

Summary:
formation energy from raw total energies: -53.90 kJ per mole of atoms
symmetry: I-4

Lattice parameters (Å, degrees): 7.3439 7.3439 7.3439 119.46 90.94 119.46
Each line ends with the local moment (μB).
Atoms (fractional coordinates):
Ac (0.9203, 0.3014, 0.1301)  0.04
Ac (0.8699, 0.7902, 0.1713)  0.04
Ac (0.8287, 0.6986, 0.6189)  0.04
Ac (0.5000, 0.0000, 0.5000)  0.01
Ac (0.3811, 0.2098, 0.0797)  0.04
Cr (0.2500, 0.5000, 0.7500)  -0.44
N (0.1393, 0.6814, 0.8482)  0.47
N (0.1518, 0.2911, 0.8332)  0.47
N (0.6438, 0.2564, 0.3358)  0.14
N (0.6642, 0.3080, 0.9207)  0.14
N (0.6126, 0.6920, 0.3562)  0.14
N (0.5421, 0.7089, 0.8607)  0.47
N (0.1668, 0.3186, 0.4579)  0.47
N (0.0793, 0.7436, 0.3874)  0.14



Record 9
An optimized crystal structure of Ac2Ni17, computed with PBE.

Summary:
calculated formation energy: -0.116 eV/atom
symmetry: R-3m

Lattice parameters (Å, degrees): 6.3872 6.3872 6.3872 83.31 83.31 83.31
Each line ends with the local moment (μB).
Atoms (fractional coordinates):
Ac (0.3415, 0.3415, 0.3415)  -0.07
Ac (0.6585, 0.6585, 0.6585)  -0.07
Ni (0.6601, 0.6601, 0.1500)  0.43
Ni (0.1500, 0.6601, 0.6601)  0.43
Ni (0.9029, 0.9029, 0.9029)  0.47
Ni (0.0971, 0.0971, 0.0971)  0.47
Ni (0.0000, 0.0000, 0.5000)  0.53
Ni (0.0000, 0.5000, 0.0000)  0.53
Ni (0.5000, 0.0000, 0.0000)  0.53
Ni (0.2832, 0.7168, 0.0000)  0.47
Ni (0.7168, 0.0000, 0.2832)  0.47
Ni (0.0000, 0.2832, 0.7168)  0.47
Ni (0.7168, 0.2832, 0.0000)  0.47
Ni (0.2832, 0.0000, 0.7168)  0.47
Ni (0.0000, 0.7168, 0.2832)  0.47
Ni (0.8500, 0.3399, 0.3399)  0.43
Ni (0.3399, 0.3399, 0.8500)  0.43
Ni (0.3399, 0.8500, 0.3399)  0.43
Ni (0.6601, 0.1500, 0.6601)  0.43



Record 10
An optimized crystal structure of MnCd2Tc, computed with PBE.

Summary:
calculated formation energy: 0.274 eV/atom
E above lowest polymorph: 92.3 meV/atom
symmetry: Cmm2

Lattice parameters (Å, degrees): 2.8217 2.8217 9.3615 90.00 90.00 110.63
Each line ends with the local moment (μB).
Atoms (fractional coordinates):
Cd (0.0000, 0.0000, 0.9796)  0.00
Cd (0.5000, 0.5000, 0.2751)  -0.02
Mn (0.0000, 0.0000, 0.5255)  2.84
Tc (0.5000, 0.5000, 0.7199)  -0.42



Record 11
An optimized crystal structure of CoReCl2, computed with PBE.

Summary:
E above lowest polymorph: 53.2 meV/atom
formation energy from raw total energies: 14.13 kJ per mole of atoms
symmetry: R3m

Lattice parameters (Å, degrees): 9.0958 9.0958 9.0958 19.07 19.07 19.07
Each line ends with the local moment (μB).
Atoms (fractional coordinates):
Re (0.7584, 0.7584, 0.7584)  0.04
Co (0.4961, 0.4961, 0.4961)  1.59
Cl (0.0236, 0.0236, 0.0236)  -0.02
Cl (0.2219, 0.2219, 0.2219)  0.13



Record 12
An optimized crystal structure of Cs2CaBi, computed with PBE.

Summary:
calculated formation energy: 0.007 eV/atom
symmetry: Fm-3m

Lattice parameters (Å, degrees): 6.5855 6.5855 6.5855 60.00 60.00 60.00
Atoms (fractional coordinates):
Cs (0.2500, 0.2500, 0.2500)
Cs (0.7500, 0.7500, 0.7500)
Ca (0.0000, 0.0000, 0.0000)
Bi (0.5000, 0.5000, 0.5000)



Record 13
An optimized crystal structure of Zn2Ga8Rh, computed with PBE.

Summary:
calculated formation energy: -0.028 eV/atom
symmetry: C2/m

Lattice parameters (Å, degrees): 6.0194 6.3651 6.3651 61.94 91.92 91.92
Atoms (fractional coordinates):
Zn (0.6509, 0.1180, 0.1180)
Zn (0.3491, 0.8820, 0.8820)
Ga (0.0231, 0.1773, 0.5612)
Ga (0.0231, 0.5612, 0.1773)
Ga (0.9769, 0.8227, 0.4388)
Ga (0.4137, 0.6152, 0.6152)
Ga (0.9769, 0.4388, 0.8227)
Ga (0.2686, 0.1940, 0.1940)
Ga (0.7314, 0.8060, 0.8060)
Ga (0.5863, 0.3848, 0.3848)
Rh (0.0000, 0.0000, 0.0000)



Record 14
An optimized crystal structure of Sc5Si2Ge5, computed with PBE.

Summary:
formation energy from raw total energies: -56.98 kJ per mole of atoms
symmetry: C2/m

Lattice parameters (Å, degrees): 3.9280 7.3059 8.3975 89.92 76.50 74.40
Atoms (fractional coordinates):
Sc (0.0000, 0.5000, 0.5000)
Sc (0.6840, 0.7011, 0.9312)
Sc (0.3667, 0.9228, 0.3435)
Sc (0.6333, 0.0772, 0.6565)
Sc (0.3160, 0.2989, 0.0688)
Si (0.3824, 0.4812, 0.7544)
Si (0.6176, 0.5188, 0.2456)
Ge (0.7306, 0.2021, 0.3373)
Ge (0.9464, 0.2966, 0.8112)
Ge (0.0536, 0.7034, 0.1888)
Ge (0.2694, 0.7979, 0.6627)
Ge (0.0000, 0.0000, 0.0000)



Record 15
An optimized crystal structure of CaInAs3, computed with PBE.

Summary:
calculated formation energy: 0.270 eV/atom
E above lowest polymorph: 0.0 meV/atom
symmetry: Pm-3m

Lattice parameters (Å, degrees): 5.2413 5.2413 5.2413 90.00 90.00 90.00
Atoms (fractional coordinates):
As (0.0000, 0.5000, 0.0000)
As (0.0000, 0.0000, 0.5000)
As (0.5000, 0.0000, 0.0000)
Ca (0.5000, 0.5000, 0.5000)
In (0.0000, 0.0000, 0.0000)



Record 16
An optimized crystal structure of Li4Hg2O, computed with PBE.

Summary:
formation energy from raw total energies: -85.51 kJ per mole of atoms
symmetry: I4/mmm

Lattice parameters (Å, degrees): 3.8465 3.8465 8.0396 76.16 76.16 90.00
Atoms (fractional coordinates):
Hg (0.3159, 0.3159, 0.3682)
Hg (0.6841, 0.6841, 0.6318)
O (0.0000, 0.0000, 0.0000)
Li (0.1251, 0.1251, 0.7497)
Li (0.8749, 0.8749, 0.2503)
Li (0.0000, 0.5000, 0.0000)
Li (0.5000, 0.0000, 0.0000)



Record 17
An optimized crystal structure of Li3PrAu2, computed with PBE.

Summary:
calculated formation energy: -0.505 eV/atom
symmetry: C2/m

Lattice parameters (Å, degrees): 4.2428 7.8607 8.4104 115.49 90.00 105.66
Atoms (fractional coordinates):
Li (0.3008, 0.6017, 0.5020)
Li (0.9412, 0.8824, 0.6026)
Li (0.5901, 0.1802, 0.6794)
Li (0.4099, 0.8198, 0.3206)
Li (0.0588, 0.1176, 0.3974)
Li (0.6992, 0.3983, 0.4980)
Pr (0.8620, 0.7240, 0.9645)
Pr (0.1380, 0.2760, 0.0355)
Au (0.4619, 0.9238, 0.8088)
Au (0.5381, 0.0762, 0.1912)
Au (0.7911, 0.5821, 0.2731)
Au (0.2089, 0.4179, 0.7269)



Record 18
An optimized crystal structure of Ce2CoCl, computed with PBE.

Summary:
E above lowest polymorph: 0.0 meV/atom
formation energy from raw total energies: -79.01 kJ per mole of atoms
symmetry: R-3m

Lattice parameters (Å, degrees): 3.9112 3.9112 7.6753 75.24 75.24 60.00
Each line ends with the local moment (μB).
Atoms (fractional coordinates):
Co (0.0000, 0.0000, 0.0000)  -0.18
Ce (0.2665, 0.2665, 0.2004)  0.74
Ce (0.7335, 0.7335, 0.7996)  0.74
Cl (0.5000, 0.5000, 0.5000)  -0.01



Record 19
An optimized crystal structure of SnBIF4, computed with PBE.

Summary:
formation energy from raw total energies: -213.80 kJ per mole of atoms
symmetry: C2/m

Lattice parameters (Å, degrees): 6.9279 6.9279 7.9251 70.13 70.13 62.98
Atoms (fractional coordinates):
Sn (0.1928, 0.1928, 0.8173)
Sn (0.8072, 0.8072, 0.1827)
B (0.6406, 0.6406, 0.7390)
B (0.3594, 0.3594, 0.2610)
I (0.0398, 0.0398, 0.2302)
I (0.9602, 0.9602, 0.7698)
F (0.2747, 0.2747, 0.4479)
F (0.7253, 0.7253, 0.5521)
F (0.1741, 0.4929, 0.1718)
F (0.4799, 0.4799, 0.2434)
F (0.5071, 0.8259, 0.8282)
F (0.4929, 0.1741, 0.1718)
F (0.5201, 0.5201, 0.7566)
F (0.8259, 0.5071, 0.8282)



Record 20
An optimized crystal structure of Sc2BeSn, computed with PBE.

Summary:
calculated formation energy: 0.201 eV/atom
E above lowest polymorph: 441.3 meV/atom
symmetry: R-3m

Lattice parameters (Å, degrees): 9.8310 9.8310 9.8310 19.32 19.32 19.32
Atoms (fractional coordinates):
Sc (0.8962, 0.8962, 0.8962)
Sc (0.1038, 0.1038, 0.1038)
Be (0.5000, 0.5000, 0.5000)
Sn (0.0000, 0.0000, 0.0000)



| no. | total magnetization (μB/cell) |
| --- | --- |
| 1 | 0.72 |
| 2 | 4.33 |
| 3 | 0.00 |
| 4 | 0.00 |
| 5 | 2.63 |
| 6 | 10.49 |
| 7 | 0.00 |
| 8 | 3.15 |
| 9 | 7.21 |
| 10 | 2.48 |
| 11 | 1.77 |
| 12 | 0.00 |
| 13 | 0.00 |
| 14 | 0.00 |
| 15 | 0.00 |
| 16 | 0.00 |
| 17 | 0.00 |
| 18 | 1.66 |
| 19 | 0.00 |
| 20 | 0.00 |